Material: LiNbIn3
Method: DFT, PBEsol
State: optimized geometry

a b c (Å): 4.704 4.704 4.704
angles (deg): 90.00 90.00 90.00
Fractional positions:
Nb (0.500, 0.500, 0.500)
Li (0.000, 0.000, 0.000)
In (0.000, 0.500, 0.000)
In (0.000, 0.000, 0.500)
In (0.500, 0.000, 0.000)

* ρ: 7.1 g/cm³
* ΔH_f (0 K): 684 meV/atom

Material: LiReAs2
Method: DFT, PBEsol
State: optimized geometry

a b c (Å): 4.334 4.334 4.334
angles (deg): 60.00 60.00 60.00
Fractional positions:
As (0.750, 0.750, 0.750)
As (0.250, 0.250, 0.250)
Li (0.000, 0.000, 0.000)
Re (0.500, 0.500, 0.500)

* ρ: 9.9 g/cm³
* energy above the lowest structure with this stoichiometry: 0.166 eV/atom
* ΔH_f (0 K): -50 meV/atom

Material: Cs2SnGe
Method: DFT, PBEsol
State: optimized geometry

a b c (Å): 6.129 6.129 6.129
angles (deg): 60.00 60.00 60.00
Fractional positions:
Cs (0.250, 0.250, 0.250)
Cs (0.750, 0.750, 0.750)
Ge (0.000, 0.000, 0.000)
Sn (0.500, 0.500, 0.500)

* ρ: 4.7 g/cm³
* ΔH_f (0 K): 375 meV/atom

Material: MgAsPt5
Method: DFT, PBEsol
State: optimized geometry

a b c (Å): 3.935 3.935 7.073
angles (deg): 90.00 90.00 90.00
Fractional positions:
As (0.500, 0.500, 0.500)
Mg (0.000, 0.000, 0.000)
Pt (0.500, 0.500, 0.000)
Pt (0.000, 0.500, 0.279)
Pt (0.500, 0.000, 0.279)
Pt (0.000, 0.500, 0.721)
Pt (0.500, 0.000, 0.721)

* ρ: 16.3 g/cm³
* ΔH_f (0 K): -472 meV/atom

Material: CrIn2OsSe
Method: DFT, PBEsol
State: optimized geometry

a b c (Å): 4.414 5.080 5.080
angles (deg): 90.00 90.00 90.00
Fractional positions:
Cr (0.500, 0.000, 0.000)
Os (0.500, 0.500, 0.500)
Se (0.000, 0.000, 0.000)
In (0.000, 0.000, 0.500)
In (0.000, 0.500, 0.000)

* ρ: 8.0 g/cm³
* ΔE_f (raw): 742 kJ/mol of formula units

Material: Cu2AgP
Method: DFT, PBEsol
State: optimized geometry

a b c (Å): 2.735 4.083 5.254
angles (deg): 98.58 90.00 109.57
Fractional positions:
Ag (0.500, 0.000, 0.000)
Cu (0.742, 0.483, 0.706)
Cu (0.258, 0.517, 0.294)
P (0.000, 0.000, 0.500)

* ρ: 8.1 g/cm³
* ΔH_f (0 K): 157 meV/atom

Material: Mg3Cd
Method: DFT, PBEsol
State: optimized geometry

a b c (Å): 5.555 5.555 5.555
angles (deg): 90.00 90.00 90.00
Fractional positions:
Mg (0.000, 0.250, 0.500)
Mg (0.000, 0.750, 0.500)
Mg (0.250, 0.500, 0.000)
Mg (0.500, 0.000, 0.250)
Mg (0.500, 0.000, 0.750)
Mg (0.750, 0.500, 0.000)
Cd (0.000, 0.000, 0.000)
Cd (0.500, 0.500, 0.500)

* ρ: 3.6 g/cm³
* ΔH_f (0 K): -59 meV/atom

Material: AlCuRu2
Method: DFT, PBEsol
State: optimized geometry

a b c (Å): 2.653 2.653 8.497
angles (deg): 90.00 90.00 116.57
Fractional positions:
Ru (0.000, 0.000, 0.000)
Ru (0.500, 0.500, 0.743)
Al (0.000, 0.000, 0.498)
Cu (0.500, 0.500, 0.258)

* ρ: 9.1 g/cm³
* ΔH_f (0 K): 196 meV/atom

Material: TlTe2Au
Method: DFT, PBEsol
State: optimized geometry

a b c (Å): 3.073 5.806 5.806
angles (deg): 90.01 90.00 90.00
Fractional positions:
Au (0.500, 0.500, 0.500)
Te (0.000, 0.500, 0.000)
Te (0.000, 0.000, 0.500)
Tl (0.500, 0.000, 0.000)

* ρ: 10.5 g/cm³
* ΔE_f (raw): 72 kJ/mol of formula units

Material: Ti2NiW2
Method: DFT, PBEsol
State: optimized geometry

a b c (Å): 3.516 3.516 7.230
angles (deg): 104.07 104.07 90.00
Fractional positions:
Ni (0.000, 0.000, 0.000)
W (0.250, 0.750, 0.500)
W (0.750, 0.250, 0.500)
Ti (0.411, 0.411, 0.823)
Ti (0.589, 0.589, 0.177)

* ρ: 10.3 g/cm³
* ΔH_f (0 K): 779 meV/atom

Material: MgRuW
Method: DFT, PBEsol
State: optimized geometry

a b c (Å): 4.233 4.233 4.233
angles (deg): 60.00 60.00 60.00
Fractional positions:
Mg (0.000, 0.000, 0.000)
Ru (0.500, 0.500, 0.500)
W (0.250, 0.250, 0.250)

* ρ: 9.6 g/cm³
* ΔH_f (0 K): 953 meV/atom

Material: ScFeAu4
Method: DFT, PBEsol
State: optimized geometry

a b c (Å): 5.337 5.337 5.337
angles (deg): 60.00 60.00 60.00
Fractional positions:
Au (0.375, 0.375, 0.375)
Au (0.375, 0.375, 0.874)
Au (0.874, 0.375, 0.375)
Au (0.375, 0.874, 0.375)
Fe (0.750, 0.750, 0.750)
Sc (0.000, 0.000, 0.000)

* ρ: 13.7 g/cm³
* ΔH_f (0 K): 21 meV/atom

Material: Mg3TiH
Method: DFT, PBEsol
State: optimized geometry

a b c (Å): 4.360 4.360 4.360
angles (deg): 90.00 90.00 90.00
Fractional positions:
H (0.000, 0.000, 0.000)
Mg (0.000, 0.500, 0.000)
Mg (0.000, 0.000, 0.500)
Mg (0.500, 0.000, 0.000)
Ti (0.500, 0.500, 0.500)

* total DFT energy (no corrections): -3.152 eV per atom
* ρ: 2.4 g/cm³

Material: MnHIr3
Method: DFT, PBEsol
State: optimized geometry

a b c (Å): 3.856 3.856 3.856
angles (deg): 90.00 90.00 90.00
Fractional positions:
H (0.000, 0.000, 0.000)
Ir (0.000, 0.500, 0.000)
Ir (0.000, 0.000, 0.500)
Ir (0.500, 0.000, 0.000)
Mn (0.500, 0.500, 0.500)

* total DFT energy (no corrections): -8.463 eV per atom
* ρ: 18.3 g/cm³

Material: MgScP
Method: DFT, PBEsol
State: optimized geometry

a b c (Å): 4.442 4.442 4.442
angles (deg): 60.00 60.00 60.00
Fractional positions:
Sc (0.250, 0.250, 0.250)
P (0.500, 0.500, 0.500)
Mg (0.000, 0.000, 0.000)

* ρ: 2.7 g/cm³
* ΔH_f (0 K): -181 meV/atom

Material: TaPtAu
Method: DFT, PBEsol
State: optimized geometry

a b c (Å): 3.407 3.407 4.857
angles (deg): 110.53 110.53 90.00
Fractional positions:
Au (0.002, 0.002, 0.004)
Pt (0.669, 0.669, 0.338)
Ta (0.329, 0.329, 0.658)

* ρ: 19.4 g/cm³
* energy above the lowest structure with this stoichiometry: 0.029 eV/atom
* ΔH_f (0 K): -446 meV/atom

Material: MgCoRe
Method: DFT, PBEsol
State: optimized geometry

a b c (Å): 2.727 2.727 6.591
angles (deg): 90.00 90.00 120.00
Fractional positions:
Co (0.000, 0.000, 0.013)
Mg (0.333, 0.667, 0.679)
Re (0.667, 0.333, 0.308)

* ρ: 10.5 g/cm³
* energy above the lowest structure with this stoichiometry: 0.143 eV/atom
* ΔH_f (0 K): 280 meV/atom

Material: Sc2Te
Method: DFT, PBEsol
State: optimized geometry

a b c (Å): 3.876 10.621 19.938
angles (deg): 90.00 90.00 90.00
Fractional positions:
Sc (0.250, 0.344, 0.107)
Sc (0.750, 0.844, 0.393)
Sc (0.750, 0.656, 0.893)
Sc (0.250, 0.156, 0.607)
Sc (0.250, 0.034, 0.162)
Sc (0.750, 0.534, 0.338)
Sc (0.750, 0.966, 0.838)
Sc (0.250, 0.466, 0.662)
Sc (0.750, 0.252, 0.227)
Sc (0.250, 0.752, 0.273)
Sc (0.250, 0.748, 0.773)
Sc (0.750, 0.248, 0.727)
Sc (0.750, 0.882, 0.033)
Sc (0.250, 0.382, 0.467)
Sc (0.250, 0.118, 0.967)
Sc (0.750, 0.618, 0.533)
Sc (0.750, 0.570, 0.139)
Sc (0.250, 0.070, 0.361)
Sc (0.250, 0.430, 0.861)
Sc (0.750, 0.930, 0.639)
Sc (0.750, 0.393, 0.989)
Sc (0.250, 0.893, 0.511)
Sc (0.250, 0.607, 0.011)
Sc (0.750, 0.107, 0.489)
Te (0.750, 0.148, 0.074)
Te (0.250, 0.648, 0.426)
Te (0.250, 0.852, 0.926)
Te (0.750, 0.352, 0.574)
Te (0.250, 0.777, 0.127)
Te (0.750, 0.277, 0.373)
Te (0.750, 0.223, 0.873)
Te (0.250, 0.723, 0.627)
Te (0.250, 0.466, 0.236)
Te (0.750, 0.966, 0.264)
Te (0.750, 0.534, 0.764)
Te (0.250, 0.034, 0.736)

* ρ: 5.3 g/cm³
* ΔE_f (raw): -255 kJ/mol of formula units

Material: EuTlMo2O8
Method: DFT, PBEsol
State: optimized geometry

a b c (Å): 5.167 8.017 17.977
angles (deg): 90.00 90.00 90.00
Fractional positions:
Eu (0.500, 0.250, 0.490)
Eu (0.500, 0.750, 0.510)
Eu (0.000, 0.750, 0.010)
Eu (0.000, 0.250, 0.990)
Tl (0.500, 0.250, 0.731)
Tl (0.500, 0.750, 0.269)
Tl (0.000, 0.750, 0.769)
Tl (0.000, 0.250, 0.231)
Mo (0.486, 0.973, 0.897)
Mo (0.514, 0.027, 0.103)
Mo (0.986, 0.527, 0.397)
Mo (0.986, 0.027, 0.603)
Mo (0.486, 0.473, 0.103)
Mo (0.014, 0.473, 0.603)
Mo (0.014, 0.973, 0.397)
Mo (0.514, 0.527, 0.897)
O (0.756, 0.007, 0.465)
O (0.718, 0.352, 0.896)
O (0.764, 0.701, 0.405)
O (0.744, 0.507, 0.035)
O (0.244, 0.493, 0.465)
O (0.218, 0.148, 0.396)
O (0.244, 0.993, 0.535)
O (0.764, 0.201, 0.595)
O (0.882, 0.971, 0.308)
O (0.264, 0.299, 0.095)
O (0.382, 0.529, 0.808)
O (0.782, 0.352, 0.396)
O (0.782, 0.852, 0.604)
O (0.256, 0.493, 0.965)
O (0.236, 0.799, 0.405)
O (0.618, 0.971, 0.808)
O (0.118, 0.029, 0.692)
O (0.756, 0.507, 0.535)
O (0.264, 0.799, 0.905)
O (0.882, 0.471, 0.692)
O (0.382, 0.029, 0.192)
O (0.282, 0.148, 0.896)
O (0.218, 0.648, 0.604)
O (0.736, 0.201, 0.095)
O (0.618, 0.471, 0.192)
O (0.236, 0.299, 0.595)
O (0.282, 0.648, 0.104)
O (0.736, 0.701, 0.905)
O (0.718, 0.852, 0.104)
O (0.118, 0.529, 0.308)
O (0.256, 0.993, 0.035)
O (0.744, 0.007, 0.965)

* ρ: 6.0 g/cm³
* ΔE_f (raw): -2437 kJ/mol of formula units

Material: Cu2TeS
Method: DFT, PBEsol
State: optimized geometry

a b c (Å): 5.460 5.460 6.642
angles (deg): 114.27 114.27 90.00
Fractional positions:
S (0.750, 0.250, 0.500)
S (0.500, 0.500, 0.000)
Te (0.250, 0.750, 0.500)
Te (0.000, 0.000, 0.000)
Cu (0.425, 0.875, 0.250)
Cu (0.825, 0.375, 0.250)
Cu (0.125, 0.175, 0.750)
Cu (0.625, 0.575, 0.750)

* ρ: 5.9 g/cm³
* ΔE_f (raw): -41 kJ/mol of formula units

Calculated volume, 104 58 163 110 114 55 171 53 104 84 54 107 83 57 62 49 42 821 745 161 Å³ per cell (same order as the records).